Entry 1:
{"formula": "Ag2PbAu2", "functional": "SCAN", "state": "PBEsol geometry", "cell": [[-1.955, 1.955, 6.698], [1.955, -1.955, 6.698], [1.955, 1.955, -6.698]], "species": ["Ag", "Ag", "Pb", "Au", "Au"], "frac_coords": [[0.250, 0.750, 0.500], [0.750, 0.250, 0.500], [0.000, 0.000, 0.000], [0.398, 0.398, 0.000], [0.602, 0.602, 0.000]], "energy_ev_per_fu": -276.72, "space_group": "I4/mmm", "total_magnetization_mub_per_fu": 0.0, "crystal_system": "tetragonal", "e_above_lowest_polymorph_ev_per_fu": 0.17, "formation_energy_ev_per_atom": 0.02}

Entry 2:
{"formula": "Ag2PbAu", "functional": "SCAN", "state": "PBEsol geometry", "cell": [[3.327, 0.000, 0.000], [0.000, 3.582, 0.000], [0.000, 0.000, 6.549]], "species": ["Ag", "Ag", "Pb", "Au"], "frac_coords": [[0.000, 0.000, 0.000], [0.500, 0.500, 0.216], [0.500, 0.500, 0.712], [0.000, 0.000, 0.436]], "energy_ev_per_fu": -207.54, "space_group": "Pmm2", "total_magnetization_mub_per_fu": 0.0, "crystal_system": "orthorhombic", "formation_energy_ev_per_atom": 0.03}

Entry 3:
{"formula": "Ag2PbAu", "functional": "SCAN", "state": "PBEsol geometry", "cell": [[3.234, 0.000, 0.000], [0.000, 3.681, 0.000], [0.000, 0.000, 6.556]], "species": ["Ag", "Ag", "Pb", "Au"], "frac_coords": [[0.000, 0.000, 0.217], [0.000, 0.000, 0.783], [0.500, 0.500, 0.500], [0.500, 0.500, 0.000]], "energy_ev_per_fu": -207.48, "space_group": "Pmmm", "total_magnetization_mub_per_fu": 0.0, "crystal_system": "orthorhombic", "formation_energy_ev_per_atom": 0.05}

Entry 4:
{"formula": "AgPb2Au", "functional": "SCAN", "state": "PBEsol geometry", "cell": [[3.776, 0.000, 0.000], [0.000, 4.475, 0.000], [-1.793, 0.000, 5.450]], "species": ["Ag", "Pb", "Pb", "Au"], "frac_coords": [[0.000, 0.000, 0.000], [0.435, 0.500, 0.865], [0.722, 0.000, 0.456], [0.155, 0.500, 0.318]], "energy_ev_per_fu": -252.11, "space_group": "Pm", "total_magnetization_mub_per_fu": 0.0, "crystal_system": "monoclinic", "e_above_lowest_polymorph_ev_per_fu": 0.00, "formation_energy_ev_per_atom": 0.00}

Entry 5:
{"formula": "AgPbAu4", "functional": "SCAN", "state": "PBEsol geometry", "cell": [[0.000, 3.881, 3.881], [3.881, 0.000, 3.881], [3.881, 3.881, 0.000]], "species": ["Ag", "Pb", "Au", "Au", "Au", "Au"], "frac_coords": [[0.000, 0.000, 0.000], [0.750, 0.750, 0.750], [0.375, 0.375, 0.375], [0.375, 0.375, 0.876], [0.375, 0.876, 0.375], [0.876, 0.375, 0.375]], "energy_ev_per_fu": -383.61, "space_group": "F-43m", "total_magnetization_mub_per_fu": 0.0, "crystal_system": "cubic", "formation_energy_ev_per_atom": 0.03}

Entry 6:
{"formula": "Ag2PbAu", "functional": "SCAN", "state": "PBEsol geometry", "cell": [[-2.124, 2.124, 4.238], [2.124, -2.124, 4.238], [2.124, 2.124, -4.238]], "species": ["Ag", "Ag", "Pb", "Au"], "frac_coords": [[0.250, 0.750, 0.500], [0.750, 0.250, 0.500], [0.000, 0.000, 0.000], [0.500, 0.500, 0.000]], "energy_ev_per_fu": -207.46, "space_group": "I4/mmm", "total_magnetization_mub_per_fu": 0.0, "crystal_system": "tetragonal", "formation_energy_ev_per_atom": 0.05}

Entry 7:
{"formula": "AgPb2Au", "functional": "SCAN", "state": "PBEsol geometry", "cell": [[-1.689, 2.571, 5.240], [1.689, -2.571, 5.240], [1.689, 2.571, -5.240]], "species": ["Ag", "Pb", "Pb", "Au"], "frac_coords": [[0.000, 0.000, 0.000], [0.460, 0.460, 0.000], [0.746, 0.246, 0.500], [0.213, 0.713, 0.500]], "energy_ev_per_fu": -251.81, "space_group": "Imm2", "total_magnetization_mub_per_fu": 0.0, "crystal_system": "orthorhombic", "e_above_lowest_polymorph_ev_per_fu": 0.30, "formation_energy_ev_per_atom": 0.07}

Entry 8:
{"formula": "AgPb2Au", "functional": "SCAN", "state": "PBEsol geometry", "cell": [[3.425, 0.000, 0.000], [0.000, 3.425, 0.000], [0.000, 0.000, 7.842]], "species": ["Ag", "Pb", "Pb", "Au"], "frac_coords": [[0.000, 0.000, 0.000], [0.000, 0.000, 0.417], [0.500, 0.500, 0.762], [0.500, 0.500, 0.183]], "energy_ev_per_fu": -252.02, "space_group": "P4mm", "total_magnetization_mub_per_fu": 0.0, "crystal_system": "tetragonal", "e_above_lowest_polymorph_ev_per_fu": 0.09, "formation_energy_ev_per_atom": 0.02}

Please write out number 5 again, unchanged.
{"formula": "AgPbAu4", "functional": "SCAN", "state": "PBEsol geometry", "cell": [[0.000, 3.881, 3.881], [3.881, 0.000, 3.881], [3.881, 3.881, 0.000]], "species": ["Ag", "Pb", "Au", "Au", "Au", "Au"], "frac_coords": [[0.000, 0.000, 0.000], [0.750, 0.750, 0.750], [0.375, 0.375, 0.375], [0.375, 0.375, 0.876], [0.375, 0.876, 0.375], [0.876, 0.375, 0.375]], "energy_ev_per_fu": -383.61, "space_group": "F-43m", "total_magnetization_mub_per_fu": 0.0, "crystal_system": "cubic", "formation_energy_ev_per_atom": 0.03}